1:
Density functional theory data (GGA-PBE) for a relaxed Si5Hg3 crystal.

abc: 8.812 8.812 4.898
angles: 90.00 90.00 120.00
Sites, in units of the cell vectors:
Si 0.333 0.667 0.000
Si 0.667 0.333 0.500
Si 0.667 0.333 0.000
Si 0.333 0.667 0.500
Si 0.163 0.000 0.250
Si 0.837 0.000 0.750
Si 0.000 0.163 0.250
Si 0.837 0.837 0.250
Si 0.163 0.163 0.750
Si 0.000 0.837 0.750
Hg 0.607 0.000 0.250
Hg 0.393 0.000 0.750
Hg 0.000 0.607 0.250
Hg 0.393 0.393 0.250
Hg 0.607 0.607 0.750
Hg 0.000 0.393 0.750

## Properties
Total moment, μB/f.u.: 0.0
Theoretical density, g/cm3: 7.5
Symmetry: P6_3/mcm (193)
Density of states at the Fermi level, states/eV per cell: 8.1


2:
Density functional theory data (GGA-PBE) for a relaxed Si5Hg3 crystal.

abc: 3.386 3.386 14.945
angles: 90.00 90.00 90.00
Sites, in units of the cell vectors:
Si 0.000 0.000 0.000
Si 0.000 0.000 0.329
Si 0.000 0.000 0.671
Si 0.500 0.500 0.287
Si 0.500 0.500 0.713
Hg 0.000 0.000 0.500
Hg 0.500 0.500 0.115
Hg 0.500 0.500 0.885

## Properties
Total moment, μB/f.u.: 0.0
Theoretical density, g/cm3: 7.2
Symmetry: P4/mmm (123)
Density of states at the Fermi level, states/eV per cell: 2.5


Which of them is the most stable? Correct choice: 2.


1:
Density functional theory data (GGA-PBE) for a relaxed SiSn3Hg crystal.

abc: 5.268 5.268 5.268
angles: 90.00 90.00 90.00
Sites, in units of the cell vectors:
Si 0.000 0.000 0.000
Hg 0.500 0.500 0.500
Sn 0.000 0.500 0.000
Sn 0.000 0.000 0.500
Sn 0.500 0.000 0.000

## Properties
Total moment, μB/f.u.: 0.0
Theoretical density, g/cm3: 6.6
Symmetry: Pm-3m (221)
Density of states at the Fermi level, states/eV per cell: 3.0


2:
Density functional theory data (GGA-PBE) for a relaxed SiSn3Hg crystal.

abc: 5.502 5.502 5.502
angles: 90.00 90.00 90.00
Sites, in units of the cell vectors:
Si 0.500 0.500 0.500
Hg 0.000 0.000 0.000
Sn 0.000 0.500 0.000
Sn 0.000 0.000 0.500
Sn 0.500 0.000 0.000

## Properties
Total moment, μB/f.u.: 0.0
Theoretical density, g/cm3: 5.8
Symmetry: Pm-3m (221)
Density of states at the Fermi level, states/eV per cell: 4.5


Which of them is the most stable? Correct choice: 1.


1:
Density functional theory data (GGA-PBE) for a relaxed SiSnHg3 crystal.

abc: 5.172 5.172 5.172
angles: 90.00 90.00 90.00
Sites, in units of the cell vectors:
Si 0.000 0.000 0.000
Hg 0.000 0.500 0.000
Hg 0.000 0.000 0.500
Hg 0.500 0.000 0.000
Sn 0.500 0.500 0.500

## Properties
Total moment, μB/f.u.: 0.0
Theoretical density, g/cm3: 9.0
Symmetry: Pm-3m (221)
Density of states at the Fermi level, states/eV per cell: 3.1


2:
Density functional theory data (GGA-PBE) for a relaxed SiSnHg3 crystal.

abc: 5.597 5.597 5.597
angles: 90.00 90.00 90.00
Sites, in units of the cell vectors:
Si 0.500 0.500 0.500
Hg 0.000 0.500 0.000
Hg 0.000 0.000 0.500
Hg 0.500 0.000 0.000
Sn 0.000 0.000 0.000

## Properties
Total moment, μB/f.u.: 1.9
Theoretical density, g/cm3: 7.1
Symmetry: Pm-3m (221)
Density of states at the Fermi level, states/eV per cell: 5.7


Which of them is the most stable? Correct choice: 1.


1:
Density functional theory data (GGA-PBE) for a relaxed SrSiHg3 crystal.

abc: 6.268 6.268 6.268
angles: 90.00 90.00 90.00
Sites, in units of the cell vectors:
Sr 0.000 0.000 0.000
Si 0.500 0.500 0.500
Hg 0.000 0.500 0.000
Hg 0.000 0.000 0.500
Hg 0.500 0.000 0.000

## Properties
Total moment, μB/f.u.: 2.7
Theoretical density, g/cm3: 4.8
Symmetry: Pm-3m (221)
Density of states at the Fermi level, states/eV per cell: 3.6


2:
Density functional theory data (GGA-PBE) for a relaxed SrSiHg3 crystal.

abc: 5.230 5.230 5.230
angles: 90.00 90.00 90.00
Sites, in units of the cell vectors:
Sr 0.500 0.500 0.500
Si 0.000 0.000 0.000
Hg 0.000 0.500 0.000
Hg 0.000 0.000 0.500
Hg 0.500 0.000 0.000

## Properties
Total moment, μB/f.u.: 0.0
Theoretical density, g/cm3: 8.3
Symmetry: Pm-3m (221)
Density of states at the Fermi level, states/eV per cell: 1.6


Which of them is the most stable? Correct choice: 2.